CsRb2InF4 | PBE | relaxed Values from VASP.

**ρ**: 4.21 g/cm3
**Space group**: Imma, No. 74
**Energy relative to the elements, uncorrected**: -2.3702 eV per atom
**V**: 24.41 Å³/atom
**Density of states at the Fermi level**: 0.00 states/eV per cell

```
&SYSTEM
  ibrav = 0, nat = 16, ntyp = 4
/
ATOMIC_SPECIES
Cs 132.91 Cs.upf
Rb 85.47 Rb.upf
In 114.82 In.upf
F 19.00 F.upf
CELL_PARAMETERS angstrom
-4.103 4.114 5.785
4.103 -4.114 5.785
4.103 4.114 -5.785
ATOMIC_POSITIONS crystal
Cs 0.000 0.000 0.000
Cs 0.500 0.000 0.500
Rb 0.000 0.500 0.500
Rb 0.500 0.000 0.000
Rb 0.500 0.500 0.000
Rb 0.500 0.500 0.500
In 0.000 0.000 0.500
In 0.000 0.500 0.000
F 0.244 0.745 0.499
F 0.245 0.256 0.511
F 0.245 0.735 0.989
F 0.254 0.255 0.999
F 0.746 0.745 0.001
F 0.755 0.265 0.011
F 0.755 0.744 0.489
F 0.756 0.255 0.501
```